PBE-GGA LiPmMg2Cu2, optimized geometry; calculated volume = 22.42 A^3/atom; total moment = 0.0 μB/f.u.; uncorrected energy = -17.240 eV/cell
1.0
-2.5524 2.5524 5.1612
2.5524 -2.5524 5.1612
2.5524 2.5524 -5.1612
Li Pm Mg Cu
1 1 2 2
Cartesian
0.0000 0.0000 0.0000
0.0000 0.0000 5.1612
2.5524 0.0000 2.5806
0.0000 2.5524 2.5806
0.0000 0.0000 2.3550
0.0000 0.0000 7.9674

PBE-GGA LiPmMgCu, optimized geometry; calculated volume = 20.50 A^3/atom; total moment = 0.0 μB/f.u.; uncorrected energy = -12.721 eV/cell
1.0
0.0000 3.4482 3.4482
3.4482 0.0000 3.4482
3.4482 3.4482 0.0000
Li Pm Mg Cu
1 1 1 1
Cartesian
0.0000 0.0000 0.0000
1.7241 1.7241 1.7241
5.1722 5.1722 5.1722
3.4482 3.4482 3.4482

PBE-GGA LiMgCuPt, optimized geometry; calculated volume = 14.71 A^3/atom; total moment = 0.0 μB/f.u.; uncorrected energy = -15.511 eV/cell; distance to the lowest polymorph of the same formula = 0.005 eV per atom
1.0
0.0000 3.0869 3.0869
3.0869 0.0000 3.0869
3.0869 3.0869 0.0000
Li Mg Cu Pt
1 1 1 1
Cartesian
0.0000 0.0000 0.0000
4.6304 4.6304 4.6304
1.5435 1.5435 1.5435
3.0869 3.0869 3.0869

PBE-GGA LiMgCuPt, optimized geometry; calculated volume = 14.60 A^3/atom; total moment = 0.0 μB/f.u.; uncorrected energy = -15.532 eV/cell; distance to the lowest polymorph of the same formula = 0.000 eV per atom
1.0
-1.9839 1.9839 3.7094
1.9839 -1.9839 3.7094
1.9839 1.9839 -3.7094
Li Mg Cu Pt
1 1 1 1
Cartesian
0.0000 0.0000 0.0000
1.9839 0.0000 1.8547
0.0000 1.9839 1.8547
0.0000 0.0000 3.7094

PBE-GGA LiPuMgCu, optimized geometry; calculated volume = 20.15 A^3/atom; total moment = 6.5 μB/f.u.; uncorrected energy = -21.310 eV/cell
1.0
0.0000 3.4284 3.4284
3.4284 0.0000 3.4284
3.4284 3.4284 0.0000
Li Pu Mg Cu
1 1 1 1
Cartesian
0.0000 0.0000 0.0000
5.1427 5.1427 5.1427
1.7142 1.7142 1.7142
3.4284 3.4284 3.4284

PBE-GGA LiMgCu2Re, optimized geometry; calculated volume = 13.53 A^3/atom; total moment = 0.1 μB/f.u.; uncorrected energy = -19.588 eV/cell
1.0
4.0256 0.0000 0.0000
0.0000 4.0256 0.0000
0.0000 0.0000 4.1739
Li Mg Cu Re
1 1 2 1
Cartesian
0.0000 0.0000 0.0000
0.0000 0.0000 2.0870
0.0000 2.0128 0.0000
2.0128 0.0000 0.0000
2.0128 2.0128 2.0870

PBE-GGA LiMgCuRu, optimized geometry; calculated volume = 14.29 A^3/atom; total moment = 0.4 μB/f.u.; uncorrected energy = -16.304 eV/cell
1.0
0.0000 3.0573 3.0573
3.0573 0.0000 3.0573
3.0573 3.0573 0.0000
Li Mg Cu Ru
1 1 1 1
Cartesian
0.0000 0.0000 0.0000
1.5286 1.5286 1.5286
4.5859 4.5859 4.5859
3.0573 3.0573 3.0573

PBE-GGA LiMgCuS2, optimized geometry; calculated volume = 19.50 A^3/atom; total moment = 0.0 μB/f.u.; E_form (uncorrected) = -92.8 kJ/mol of atoms; uncorrected energy = -41.341 eV/cell
1.0
5.3765 0.0000 0.0000
0.0000 5.6772 0.0000
-0.0024 0.0000 6.3899
Li Mg Cu S
2 2 2 4
Cartesian
-0.0006 0.0026 1.5975
-0.0018 5.6746 4.7924
2.6876 2.8384 1.5975
2.6864 2.8388 4.7924
2.6882 0.0000 0.0000
2.6870 0.0000 3.1950
1.2385 1.5782 6.3891
1.2397 4.0990 3.1942
4.1344 1.5782 3.1957
4.1356 4.0990 0.0008

PBE-GGA LiSmMgCu, optimized geometry; calculated volume = 20.29 A^3/atom; total moment = 0.0 μB/f.u.; uncorrected energy = -12.685 eV/cell
1.0
0.0000 3.4361 3.4361
3.4361 0.0000 3.4361
3.4361 3.4361 0.0000
Li Sm Mg Cu
1 1 1 1
Cartesian
0.0000 0.0000 0.0000
1.7181 1.7181 1.7181
5.1542 5.1542 5.1542
3.4361 3.4361 3.4361

PBE-GGA SrLiMg2Cu, optimized geometry; calculated volume = 26.00 A^3/atom; total moment = 0.0 μB/f.u.; uncorrected energy = -10.794 eV/cell
1.0
5.0504 0.0000 0.0000
0.0000 5.0504 0.0000
0.0000 0.0000 5.0971
Sr Li Mg Cu
1 1 2 1
Cartesian
0.0000 0.0000 0.0000
2.5252 2.5252 0.0000
0.0000 2.5252 2.5486
2.5252 0.0000 2.5486
2.5252 2.5252 2.5486

PBE-GGA Sr2LiMgCu, optimized geometry; calculated volume = 34.27 A^3/atom; total moment = 0.0 μB/f.u.; uncorrected energy = -10.579 eV/cell; distance to the lowest polymorph of the same formula = 0.030 eV per atom
1.0
5.9656 0.0000 0.0000
0.0000 5.9656 0.0000
0.0000 0.0000 4.8143
Sr Li Mg Cu
2 1 1 1
Cartesian
0.0000 2.9828 0.0000
2.9828 0.0000 0.0000
0.0000 0.0000 2.4072
2.9828 2.9828 2.4072
0.0000 0.0000 0.0000

PBE-GGA Sr2LiMgCu, optimized geometry; calculated volume = 35.62 A^3/atom; total moment = 0.0 μB/f.u.; uncorrected energy = -10.731 eV/cell; distance to the lowest polymorph of the same formula = 0.000 eV per atom
1.0
5.9441 0.0000 0.0000
0.0000 5.9441 0.0000
0.0000 0.0000 5.0402
Sr Li Mg Cu
2 1 1 1
Cartesian
0.0000 2.9721 0.0000
2.9721 0.0000 0.0000
0.0000 0.0000 2.5201
2.9721 2.9721 2.5201
2.9721 2.9721 0.0000

- What is the calculated volume in the sixth record?
  13.53 A^3/atom

Copy entry 10 word for word.
PBE-GGA SrLiMg2Cu, optimized geometry; calculated volume = 26.00 A^3/atom; total moment = 0.0 μB/f.u.; uncorrected energy = -10.794 eV/cell
1.0
5.0504 0.0000 0.0000
0.0000 5.0504 0.0000
0.0000 0.0000 5.0971
Sr Li Mg Cu
1 1 2 1
Cartesian
0.0000 0.0000 0.0000
2.5252 2.5252 0.0000
0.0000 2.5252 2.5486
2.5252 0.0000 2.5486
2.5252 2.5252 2.5486

- The lowest calculated volume belongs to which entry?
  LiMgCu2Re